Entry 1:
The following is a PBE calculation of crystalline AgSnB at its relaxed geometry, from Alexandria.

```
data_AgSnB
_chemical_formula_sum 'Ag2 Sn2 B2'
_cell_length_a 3.140
_cell_length_b 6.359
_cell_length_c 6.592
_cell_angle_alpha 62.03
_cell_angle_beta 76.31
_cell_angle_gamma 89.81
_space_group_name_H-M_alt 'P 1'
_space_group_IT_number 1
loop_
_space_group_symop_operation_xyz
'x,y,z'
loop_
_atom_site_label
_atom_site_type_symbol
_atom_site_fract_x
_atom_site_fract_y
_atom_site_fract_z
Ag1 Ag 0.000 0.000 0.000
Ag2 Ag 0.411 0.542 0.186
Sn1 Sn 0.714 0.107 0.572
Sn2 Sn 0.750 0.673 0.508
B1 B 0.026 0.389 0.958
B2 B 0.544 0.376 0.922
```

- Energy of formation from the pure elements: 0.3073 eV/atom

=====

Entry 2:
The following is a PBE calculation of crystalline CaAuF5 at its relaxed geometry, from Alexandria.

```
data_CaAuF5
_chemical_formula_sum 'Ca1 Au1 F5'
_cell_length_a 4.341
_cell_length_b 5.348
_cell_length_c 5.948
_cell_angle_alpha 93.54
_cell_angle_beta 103.95
_cell_angle_gamma 106.57
_space_group_name_H-M_alt 'P -1'
_space_group_IT_number 2
loop_
_space_group_symop_operation_xyz
'x,y,z'
'-x,-y,-z'
loop_
_atom_site_label
_atom_site_type_symbol
_atom_site_fract_x
_atom_site_fract_y
_atom_site_fract_z
Ca1 Ca 0.000 0.000 0.000
Au1 Au 0.000 0.500 0.500
F1 F 0.080 0.366 0.801
F2 F 0.205 0.260 0.371
F3 F 0.500 0.000 0.000
```

- Uncorrected formation energy: -2278 meV/atom

=====

Entry 3:
The following is a PBE calculation of crystalline TbEr2H at its relaxed geometry, from Alexandria.

```
data_TbEr2H
_chemical_formula_sum 'Tb3 Er6 H3'
_cell_length_a 3.5639
_cell_length_b 3.5639
_cell_length_c 25.2481
_cell_angle_alpha 90.00
_cell_angle_beta 90.00
_cell_angle_gamma 120.00
_space_group_name_H-M_alt 'R -3 m'
_space_group_IT_number 166
_space_group_name_Hall '-R 3 2"'
loop_
_atom_site_label
_atom_site_type_symbol
_atom_site_fract_x
_atom_site_fract_y
_atom_site_fract_z
Tb1 Tb 0.0000 0.0000 0.0000
Er1 Er 0.0000 0.0000 0.2205
H1 H 0.0000 0.0000 0.5000
```

- Raw total energy: -0.329 Ry per atom

=====

Entry 4:
The following is a PBE calculation of crystalline Pm6GaGe2Br3 at its relaxed geometry, from Alexandria.

```
data_Pm6GaGe2Br3
_chemical_formula_sum 'Pm12 Ga2 Ge4 Br6'
_cell_length_a 18.959
_cell_length_b 4.286
_cell_length_c 8.713
_cell_angle_alpha 90.00
_cell_angle_beta 104.26
_cell_angle_gamma 90.00
_space_group_name_H-M_alt 'C 1 2/m 1'
_space_group_IT_number 12
loop_
_space_group_symop_operation_xyz
'x,y,z'
'-x,-y,-z'
'-x,y,-z'
'x,-y,z'
'x+1/2,y+1/2,z'
'-x+1/2,-y+1/2,-z'
'-x+1/2,y+1/2,-z'
'x+1/2,-y+1/2,z'
loop_
_atom_site_label
_atom_site_type_symbol
_atom_site_fract_x
_atom_site_fract_y
_atom_site_fract_z
Pm1 Pm 0.007 0.000 0.233
Pm2 Pm 0.159 0.500 0.102
Pm3 Pm 0.175 0.500 0.564
Ga1 Ga 0.000 0.500 0.000
Ge1 Ge 0.167 0.000 0.334
Br1 Br 0.000 0.500 0.500
Br2 Br 0.168 0.000 0.833
```

- Uncorrected formation energy: -1064 meV/atom

=====

Entry 5:
The following is a PBE calculation of crystalline RbHfFeRu2 at its relaxed geometry, from Alexandria.

```
data_RbHfFeRu2
_chemical_formula_sum 'Rb1 Hf1 Fe1 Ru2'
_cell_length_a 4.588
_cell_length_b 4.588
_cell_length_c 4.722
_cell_angle_alpha 90.00
_cell_angle_beta 90.00
_cell_angle_gamma 90.00
_space_group_name_H-M_alt 'P 4/m m m'
_space_group_IT_number 123
_space_group_name_Hall '-P 4 2'
loop_
_atom_site_label
_atom_site_type_symbol
_atom_site_fract_x
_atom_site_fract_y
_atom_site_fract_z
Rb1 Rb 0.000 0.000 0.000
Hf1 Hf 0.500 0.500 0.000
Fe1 Fe 0.000 0.000 0.500
Ru1 Ru 0.000 0.500 0.500
```

- Energy of formation from the pure elements: 1.6027 eV/atom

=====

Entry 6:
The following is a PBE calculation of crystalline La3SmHg at its relaxed geometry, from Alexandria.

```
data_La3SmHg
_chemical_formula_sum 'La18 Sm6 Hg6'
_cell_length_a 6.4176
_cell_length_b 6.4176
_cell_length_c 31.2614
_cell_angle_alpha 90.00
_cell_angle_beta 90.00
_cell_angle_gamma 120.00
_space_group_name_H-M_alt 'R 3 2'
_space_group_IT_number 155
_space_group_name_Hall 'R 3 2"'
loop_
_atom_site_label
_atom_site_type_symbol
_atom_site_fract_x
_atom_site_fract_y
_atom_site_fract_z
La1 La 0.0123 0.3158 0.4150
Sm1 Sm 0.0000 0.0000 0.1631
Hg1 Hg 0.0000 0.0000 0.3302
```

- Energy of formation from the pure elements: 0.1312 eV/atom

=====

Entry 7:
The following is a PBE calculation of crystalline Ba4Na2Ni at its relaxed geometry, from Alexandria.

```
data_Ba4Na2Ni
_chemical_formula_sum 'Ba8 Na4 Ni2'
_cell_length_a 9.249
_cell_length_b 8.031
_cell_length_c 9.535
_cell_angle_alpha 90.00
_cell_angle_beta 108.12
_cell_angle_gamma 90.00
_space_group_name_H-M_alt 'P 1 21/m 1'
_space_group_IT_number 11
loop_
_space_group_symop_operation_xyz
'x,y,z'
'-x,-y,-z'
'-x,y+1/2,-z'
'x,-y+1/2,z'
loop_
_atom_site_label
_atom_site_type_symbol
_atom_site_fract_x
_atom_site_fract_y
_atom_site_fract_z
Ba1 Ba 0.017 0.250 0.211
Ba2 Ba 0.333 0.502 0.583
Ba3 Ba 0.378 0.250 0.036
Na1 Na 0.014 0.250 0.687
Na2 Na 0.298 0.750 0.189
Ni1 Ni 0.381 0.250 0.355
```

- Energy of formation from the pure elements: 0.0570 eV/atom

=====

Entry 8:
The following is a PBE calculation of crystalline PrNdO4 at its relaxed geometry, from Alexandria.

```
data_PrNdO4
_chemical_formula_sum 'Pr2 Nd2 O8'
_cell_length_a 6.780
_cell_length_b 4.069
_cell_length_c 6.588
_cell_angle_alpha 90.00
_cell_angle_beta 97.83
_cell_angle_gamma 90.00
_space_group_name_H-M_alt 'C 1 m 1'
_space_group_IT_number 8
loop_
_space_group_symop_operation_xyz
'x,y,z'
'x,-y,z'
'x+1/2,y+1/2,z'
'x+1/2,-y+1/2,z'
loop_
_atom_site_label
_atom_site_type_symbol
_atom_site_fract_x
_atom_site_fract_y
_atom_site_fract_z
Pr1 Pr 0.000 0.000 0.000
Nd1 Nd 0.104 0.500 0.539
O1 O 0.149 0.500 0.908
O2 O 0.223 0.000 0.342
O3 O 0.380 0.000 0.200
O4 O 0.454 0.500 0.626
```

- Uncorrected formation energy: -2822 meV/atom

=====

Entry 9:
The following is a PBE calculation of crystalline HfBIr2N at its relaxed geometry, from Alexandria.

```
data_HfBIr2N
_chemical_formula_sum 'Hf1 B1 Ir2 N1'
_cell_length_a 3.985
_cell_length_b 3.985
_cell_length_c 4.330
_cell_angle_alpha 90.00
_cell_angle_beta 90.00
_cell_angle_gamma 90.00
_space_group_name_H-M_alt 'P 4/m m m'
_space_group_IT_number 123
_space_group_name_Hall '-P 4 2'
loop_
_atom_site_label
_atom_site_type_symbol
_atom_site_fract_x
_atom_site_fract_y
_atom_site_fract_z
Hf1 Hf 0.000 0.000 0.000
B1 B 0.500 0.500 0.000
Ir1 Ir 0.000 0.500 0.500
N1 N 0.000 0.000 0.500
```

- Uncorrected formation energy: 412 meV/atom

=====

Entry 10:
The following is a PBE calculation of crystalline BeCoP2S at its relaxed geometry, from Alexandria.

```
data_BeCoP2S
_chemical_formula_sum 'Be1 Co1 P2 S1'
_cell_length_a 4.143
_cell_length_b 4.143
_cell_length_c 4.994
_cell_angle_alpha 90.00
_cell_angle_beta 90.00
_cell_angle_gamma 90.00
_space_group_name_H-M_alt 'P 4/m m m'
_space_group_IT_number 123
_space_group_name_Hall '-P 4 2'
loop_
_atom_site_label
_atom_site_type_symbol
_atom_site_fract_x
_atom_site_fract_y
_atom_site_fract_z
Be1 Be 0.000 0.000 0.000
Co1 Co 0.500 0.500 0.500
P1 P 0.000 0.500 0.500
S1 S 0.500 0.500 0.000
```

- Uncorrected formation energy: 780 meV/atom

=====

Entry 11:
The following is a PBE calculation of crystalline Y2CuTe at its relaxed geometry, from Alexandria.

```
data_Y2CuTe
_chemical_formula_sum 'Y2 Cu1 Te1'
_cell_length_a 4.228
_cell_length_b 4.228
_cell_length_c 6.034
_cell_angle_alpha 90.00
_cell_angle_beta 90.00
_cell_angle_gamma 90.00
_space_group_name_H-M_alt 'P 4 m m'
_space_group_IT_number 99
loop_
_space_group_symop_operation_xyz
'x,y,z'
'-y,x,z'
'-x,-y,z'
'y,-x,z'
'-x,y,z'
'y,x,z'
'x,-y,z'
'-y,-x,z'
loop_
_atom_site_label
_atom_site_type_symbol
_atom_site_fract_x
_atom_site_fract_y
_atom_site_fract_z
Y1 Y 0.000 0.000 0.000
Y2 Y 0.500 0.500 0.499
Cu1 Cu 0.500 0.500 0.999
Te1 Te 0.000 0.000 0.500
```

- Uncorrected formation energy: -626 meV/atom

=====

Entry 12:
The following is a PBE calculation of crystalline NaLi4Mg2 at its relaxed geometry, from Alexandria.

```
data_NaLi4Mg2
_chemical_formula_sum 'Na2 Li8 Mg4'
_cell_length_a 8.807
_cell_length_b 4.861
_cell_length_c 7.911
_cell_angle_alpha 90.00
_cell_angle_beta 108.66
_cell_angle_gamma 90.00
_space_group_name_H-M_alt 'C 1 2/m 1'
_space_group_IT_number 12
loop_
_space_group_symop_operation_xyz
'x,y,z'
'-x,-y,-z'
'-x,y,-z'
'x,-y,z'
'x+1/2,y+1/2,z'
'-x+1/2,-y+1/2,-z'
'-x+1/2,y+1/2,-z'
'x+1/2,-y+1/2,z'
loop_
_atom_site_label
_atom_site_type_symbol
_atom_site_fract_x
_atom_site_fract_y
_atom_site_fract_z
Na1 Na 0.000 0.000 0.000
Li1 Li 0.067 0.500 0.696
Li2 Li 0.224 0.500 0.172
Mg1 Mg 0.143 0.000 0.431
```

- Energy of formation from the pure elements: 0.0169 eV/atom